# 1
# K2Cr3F8

A geometry-optimized K2Cr3F8 structure (GGA+U, Alexandria).

CIF file:
```
data_K2Cr3F8
_chemical_formula_sum 'K2 Cr3 F8'
_space_group_name_H-M_alt 'P -1'
_space_group_IT_number 2
_cell_length_a 5.7359
_cell_length_b 6.7714
_cell_length_c 6.9150
_cell_angle_alpha 116.57
_cell_angle_beta 108.38
_cell_angle_gamma 90.41
loop_
_space_group_symop_operation_xyz
'x,y,z'
'-x,-y,-z'
loop_
_atom_site_label
_atom_site_fract_x
_atom_site_fract_y
_atom_site_fract_z
K1 0.1681 0.2078 0.4267
Cr1 0.0000 0.5000 0.0000
Cr2 0.4889 0.2468 0.0021
F1 0.1102 0.2019 0.8167
F2 0.1272 0.6355 0.8332
F3 0.4299 0.5511 0.2091
F4 0.4817 0.0606 0.2160
```

## Properties
D(E_F) ... 0.00 states/eV per cell
Spin magnetization ... 0.9231 μB/atom
Final energy ... -5.7053 eV/atom

***

# 2
# K2CrF5

A geometry-optimized K2CrF5 structure (GGA+U, Alexandria).

CIF file:
```
data_K2CrF5
_chemical_formula_sum 'K8 Cr4 F20'
_space_group_name_H-M_alt 'C 1 c 1'
_space_group_IT_number 9
_cell_length_a 12.9489
_cell_length_b 6.2655
_cell_length_c 7.5891
_cell_angle_alpha 90.00
_cell_angle_beta 122.04
_cell_angle_gamma 90.00
loop_
_space_group_symop_operation_xyz
'x,y,z'
'x,-y,z+1/2'
'x+1/2,y+1/2,z'
'x+1/2,-y+1/2,z+1/2'
loop_
_atom_site_label
_atom_site_fract_x
_atom_site_fract_y
_atom_site_fract_z
K1 0.0000 0.0150 0.0000
K2 0.1759 0.4830 0.0423
Cr1 0.3382 0.0005 0.5218
F1 0.0072 0.4110 0.1492
F2 0.1692 0.0877 0.8942
F3 0.2866 0.2829 0.4059
F4 0.3382 0.1080 0.7720
F5 0.3900 0.2816 0.1381
```

## Properties
D(E_F) ... 0.00 states/eV per cell
Spin magnetization ... 0.3750 μB/atom
Final energy ... -5.2292 eV/atom

***

# 3
# KCr3F

A geometry-optimized KCr3F structure (GGA+U, Alexandria).

CIF file:
```
data_KCr3F
_chemical_formula_sum 'K1 Cr3 F1'
_space_group_name_H-M_alt 'P m -3 m'
_space_group_IT_number 221
_space_group_name_Hall '-P 4 2 3'
_cell_length_a 5.9453
_cell_length_b 5.9453
_cell_length_c 5.9453
_cell_angle_alpha 90.00
_cell_angle_beta 90.00
_cell_angle_gamma 90.00
loop_
_atom_site_label
_atom_site_fract_x
_atom_site_fract_y
_atom_site_fract_z
K1 0.0000 0.0000 0.0000
Cr1 0.0000 0.0000 0.5000
F1 0.5000 0.5000 0.5000
```

## Properties
D(E_F) ... 0.22 states/eV per cell
Spin magnetization ... 3.2000 μB/atom
Distance to the lowest polymorph of the same formula ... 1050 meV/atom

***

# 4
# KCrF4

A geometry-optimized KCrF4 structure (GGA+U, Alexandria).

CIF file:
```
data_KCrF4
_chemical_formula_sum 'K4 Cr4 F16'
_space_group_name_H-M_alt 'I 41/a'
_space_group_IT_number 88
_cell_length_a 5.8741
_cell_length_b 5.8741
_cell_length_c 11.7182
_cell_angle_alpha 90.00
_cell_angle_beta 90.00
_cell_angle_gamma 90.00
loop_
_space_group_symop_operation_xyz
'x,y,z'
'-x,-y,-z'
'-y+3/4,x+1/4,z+1/4'
'y+3/4,-x+1/4,-z+1/4'
'-x+1/2,-y,z+1/2'
'x+1/2,y,-z+1/2'
'y+3/4,-x+3/4,z+3/4'
'-y+3/4,x+3/4,-z+3/4'
'x+1/2,y+1/2,z+1/2'
'-x+1/2,-y+1/2,-z+1/2'
'-y+1/4,x+3/4,z+3/4'
'y+1/4,-x+3/4,-z+3/4'
'-x,-y+1/2,z'
'x,y+1/2,-z'
'y+1/4,-x+1/4,z+1/4'
'-y+1/4,x+1/4,-z+1/4'
loop_
_atom_site_label
_atom_site_fract_x
_atom_site_fract_y
_atom_site_fract_z
K1 0.0000 0.2500 0.1250
Cr1 0.0000 0.2500 0.6250
F1 0.1718 0.0284 0.7011
```

## Properties
D(E_F) ... 24.76 states/eV per cell
Spin magnetization ... 0.5000 μB/atom
Final energy ... -5.1939 eV/atom

***

# 5
# K2CrF

A geometry-optimized K2CrF structure (GGA+U, Alexandria).

CIF file:
```
data_K2CrF
_chemical_formula_sum 'K8 Cr4 F4'
_space_group_name_H-M_alt 'F m -3 m'
_space_group_IT_number 225
_space_group_name_Hall '-F 4 2 3'
_cell_length_a 8.0361
_cell_length_b 8.0361
_cell_length_c 8.0361
_cell_angle_alpha 90.00
_cell_angle_beta 90.00
_cell_angle_gamma 90.00
loop_
_atom_site_label
_atom_site_fract_x
_atom_site_fract_y
_atom_site_fract_z
K1 0.2500 0.2500 0.2500
Cr1 0.0000 0.0000 0.0000
F1 0.0000 0.0000 0.5000
```

## Properties
D(E_F) ... 0.00 states/eV per cell
Spin magnetization ... 1.2500 μB/atom
Distance to the lowest polymorph of the same formula ... 345 meV/atom

***

# 6
# K2Cr2F7

A geometry-optimized K2Cr2F7 structure (GGA+U, Alexandria).

CIF file:
```
data_K2Cr2F7
_chemical_formula_sum 'K4 Cr4 F14'
_space_group_name_H-M_alt 'C 1 2/m 1'
_space_group_IT_number 12
_cell_length_a 6.6523
_cell_length_b 13.0739
_cell_length_c 4.8985
_cell_angle_alpha 90.00
_cell_angle_beta 121.87
_cell_angle_gamma 90.00
loop_
_space_group_symop_operation_xyz
'x,y,z'
'-x,-y,-z'
'-x,y,-z'
'x,-y,z'
'x+1/2,y+1/2,z'
'-x+1/2,-y+1/2,-z'
'-x+1/2,y+1/2,-z'
'x+1/2,-y+1/2,z'
loop_
_atom_site_label
_atom_site_fract_x
_atom_site_fract_y
_atom_site_fract_z
K1 0.0000 0.1890 0.0000
Cr1 0.2228 0.5000 0.3479
F1 0.0000 0.5000 0.5000
F2 0.0464 0.0000 0.7861
F3 0.2184 0.3537 0.3297
```

## Properties
Spin magnetization ... 0.6364 μB/atom
Final energy ... -5.3939 eV/atom

***

What is the formula in the fourth record?
KCrF4